# TlSiCl2 (PBE, relaxed)
data_TlSiCl2
_chemical_formula_sum 'Tl4 Si4 Cl8'
_cell_length_a 7.305
_cell_length_b 7.305
_cell_length_c 7.305
_cell_angle_alpha 90.00
_cell_angle_beta 90.00
_cell_angle_gamma 90.00
_symmetry_space_group_name_H-M 'F m -3 m'
_symmetry_Int_Tables_number 225
_symmetry_space_group_name_Hall '-F 4 2 3'
loop_
_atom_site_label
_atom_site_type_symbol
_atom_site_fract_x
_atom_site_fract_y
_atom_site_fract_z
Tl1 Tl 0.000 0.000 0.000
Si1 Si 0.000 0.000 0.500
Cl1 Cl 0.250 0.250 0.250
# DOS(E_F): 11.6 states/eV per cell
# crystal system: cubic
# E above lowest polymorph: 1.41 eV per formula unit
# ΔE_f (raw): -0.01 eV/atom

---

# TlSi2Cl (PBE, relaxed)
data_TlSi2Cl
_chemical_formula_sum 'Tl3 Si6 Cl3'
_cell_length_a 3.1515
_cell_length_b 3.1515
_cell_length_c 29.6685
_cell_angle_alpha 90.00
_cell_angle_beta 90.00
_cell_angle_gamma 120.00
_symmetry_space_group_name_H-M 'R -3 m'
_symmetry_Int_Tables_number 166
_symmetry_space_group_name_Hall '-R 3 2"'
loop_
_atom_site_label
_atom_site_type_symbol
_atom_site_fract_x
_atom_site_fract_y
_atom_site_fract_z
Tl1 Tl 0.0000 0.0000 0.0000
Si1 Si 0.0000 0.0000 0.2395
Cl1 Cl 0.0000 0.0000 0.5000
# DOS(E_F): 8.3 states/eV per cell
# crystal system: trigonal
# E above lowest polymorph: 2.60 eV per formula unit
# ΔE_f (raw): 0.54 eV/atom